RbNa7Co2O6: optimized geometry, GGA+U.

a b c (Å): 10.894 4.424 10.811
angles (deg): 90.00 91.48 90.00
Space group C2/m (No. 12)
Symmetry-distinct sites (fractional):
Rb1 0.000 0.000 0.000 [2 per cell]
Na1 0.000 0.500 0.500 [2 per cell]
Na2 0.145 0.000 0.720 [4 per cell]
Na3 0.226 0.500 0.895 [4 per cell]
Na4 0.233 0.000 0.406 [4 per cell]
Co1 0.084 0.500 0.240 [4 per cell]
O1 0.083 0.500 0.730 [4 per cell]
O2 0.177 0.500 0.395 [4 per cell]
O3 0.185 0.500 0.106 [4 per cell]

Computed properties:
**Total magnetic moment**: 12.08 μB/cell
**E**: -4.382 eV per atom